Record 1
Density functional theory data (PBE) for a relaxed structure of DyPu2ThSe4.

Lattice parameters (Å, degrees): 7.177 4.106 7.202 90.00 109.00 90.00
Fractional coordinates of all 8 atoms:
1 Dy 0.000 0.000 0.000
2 Pu 0.000 0.500 0.500
3 Pu 0.500 0.000 0.500
4 Th 0.500 0.500 0.000
5 Se 0.242 0.000 0.745
6 Se 0.244 0.500 0.249
7 Se 0.756 0.500 0.751
8 Se 0.758 0.000 0.255

Properties
V = 25.08 Å³/atom
formation energy from raw total energies = -1602 meV per atom
DOS(E_F) = 15.21 states/eV/cell
SG = No. 10



Record 2
Density functional theory data (PBE) for a relaxed structure of DyPu2Th3Se6.

Lattice parameters (Å, degrees): 7.092 7.092 7.386 99.21 99.21 120.00
Fractional coordinates of all 12 atoms:
1 Dy 0.000 0.000 0.000
2 Pu 0.333 0.667 0.000
3 Pu 0.667 0.333 0.000
4 Th 0.167 0.833 0.500
5 Th 0.500 0.500 0.500
6 Th 0.833 0.167 0.500
7 Se 0.079 0.410 0.238
8 Se 0.251 0.251 0.762
9 Se 0.410 0.079 0.238
10 Se 0.590 0.921 0.762
11 Se 0.749 0.749 0.238
12 Se 0.921 0.590 0.762

Properties
V = 25.40 Å³/atom
formation energy from raw total energies = -1582 meV per atom
DOS(E_F) = 17.49 states/eV/cell
SG = No. 12



Record 3
Density functional theory data (PBE) for a relaxed structure of DyPuTh2Se4.

Lattice parameters (Å, degrees): 7.079 4.092 7.378 90.00 108.71 90.00
Fractional coordinates of all 8 atoms:
1 Dy 0.000 0.000 0.000
2 Pu 0.500 0.500 0.000
3 Th 0.000 0.500 0.500
4 Th 0.500 0.000 0.500
5 Se 0.243 0.500 0.237
6 Se 0.252 0.000 0.762
7 Se 0.748 0.000 0.238
8 Se 0.757 0.500 0.763

Properties
V = 25.30 Å³/atom
formation energy from raw total energies = -1597 meV per atom
DOS(E_F) = 9.84 states/eV/cell
SG = No. 10



Record 4
Density functional theory data (PBE) for a relaxed structure of Dy2Pu3ThSe6.

Lattice parameters (Å, degrees): 9.219 9.219 8.268 102.11 102.11 25.79
Fractional coordinates of all 12 atoms:
1 Dy 0.167 0.167 0.337
2 Dy 0.833 0.833 0.663
3 Pu 0.164 0.164 0.836
4 Pu 0.500 0.500 0.500
5 Pu 0.836 0.836 0.164
6 Th 0.500 0.500 0.000
7 Se 0.003 0.003 0.258
8 Se 0.330 0.330 0.909
9 Se 0.332 0.332 0.417
10 Se 0.668 0.668 0.583
11 Se 0.670 0.670 0.091
12 Se 0.997 0.997 0.742

Properties
V = 24.88 Å³/atom
formation energy from raw total energies = -1624 meV per atom
DOS(E_F) = 24.01 states/eV/cell
SG = No. 12



Record 5
Density functional theory data (PBE) for a relaxed structure of Dy3PuTh4Se8.

Lattice parameters (Å, degrees): 8.464 8.464 8.464 57.37 57.37 57.37
Fractional coordinates of all 16 atoms:
1 Dy 0.000 0.500 0.500
2 Dy 0.500 0.000 0.500
3 Dy 0.500 0.500 0.000
4 Pu 0.000 0.000 0.000
5 Th 0.000 0.000 0.500
6 Th 0.000 0.500 0.000
7 Th 0.500 0.000 0.000
8 Th 0.500 0.500 0.500
9 Se 0.247 0.247 0.743
10 Se 0.247 0.743 0.247
11 Se 0.255 0.255 0.255
12 Se 0.257 0.753 0.753
13 Se 0.743 0.247 0.247
14 Se 0.745 0.745 0.745
15 Se 0.753 0.257 0.753
16 Se 0.753 0.753 0.257

Properties
V = 25.18 Å³/atom
formation energy from raw total energies = -1623 meV per atom
DOS(E_F) = 13.40 states/eV/cell
SG = No. 166



Record 6
Density functional theory data (PBE) for a relaxed structure of DyPu2Tl3Se6.

Lattice parameters (Å, degrees): 7.315 7.315 8.105 98.65 98.65 119.99
Fractional coordinates of all 12 atoms:
1 Dy 0.000 0.000 0.000
2 Pu 0.333 0.667 0.000
3 Pu 0.667 0.333 0.000
4 Tl 0.168 0.832 0.500
5 Tl 0.500 0.500 0.500
6 Tl 0.832 0.168 0.500
7 Se 0.068 0.399 0.204
8 Se 0.263 0.263 0.795
9 Se 0.399 0.068 0.204
10 Se 0.601 0.932 0.796
11 Se 0.737 0.737 0.205
12 Se 0.932 0.601 0.796

Properties
V = 29.86 Å³/atom
formation energy from raw total energies = -1193 meV per atom
DOS(E_F) = 21.79 states/eV/cell
SG = No. 12



Record 7
Density functional theory data (PBE) for a relaxed structure of DyPuTl2Se4.

Lattice parameters (Å, degrees): 7.317 4.217 8.105 90.00 107.48 90.00
Fractional coordinates of all 8 atoms:
1 Dy 0.000 0.000 0.000
2 Pu 0.500 0.500 0.000
3 Tl 0.000 0.500 0.500
4 Tl 0.500 0.000 0.500
5 Se 0.231 0.500 0.205
6 Se 0.263 0.000 0.796
7 Se 0.737 0.000 0.204
8 Se 0.769 0.500 0.795

Properties
V = 29.81 Å³/atom
formation energy from raw total energies = -1236 meV per atom
DOS(E_F) = 12.09 states/eV/cell
SG = No. 10



Record 8
Density functional theory data (PBE) for a relaxed structure of Dy3PuTl4Se8.

Lattice parameters (Å, degrees): 9.145 9.145 9.145 54.73 54.73 54.73
Fractional coordinates of all 16 atoms:
1 Dy 0.000 0.500 0.500
2 Dy 0.500 0.000 0.500
3 Dy 0.500 0.500 0.000
4 Pu 0.000 0.000 0.000
5 Tl 0.000 0.000 0.500
6 Tl 0.000 0.500 0.000
7 Tl 0.500 0.000 0.000
8 Tl 0.500 0.500 0.500
9 Se 0.236 0.236 0.732
10 Se 0.236 0.732 0.236
11 Se 0.265 0.265 0.265
12 Se 0.268 0.764 0.764
13 Se 0.732 0.236 0.236
14 Se 0.735 0.735 0.735
15 Se 0.764 0.268 0.764
16 Se 0.764 0.764 0.268

Properties
V = 29.65 Å³/atom
formation energy from raw total energies = -1308 meV per atom
DOS(E_F) = 12.46 states/eV/cell
SG = No. 166



Record 9
Density functional theory data (PBE) for a relaxed structure of DyTm3Pu2Se6.

Lattice parameters (Å, degrees): 9.110 9.110 8.179 103.46 103.46 25.65
Fractional coordinates of all 12 atoms:
1 Dy 0.000 0.000 0.000
2 Tm 0.000 0.000 0.500
3 Tm 0.332 0.332 0.166
4 Tm 0.668 0.668 0.834
5 Pu 0.334 0.334 0.667
6 Pu 0.666 0.666 0.333
7 Se 0.165 0.165 0.589
8 Se 0.167 0.167 0.076
9 Se 0.497 0.497 0.252
10 Se 0.503 0.503 0.748
11 Se 0.833 0.833 0.924
12 Se 0.835 0.835 0.411

Properties
V = 23.78 Å³/atom
formation energy from raw total energies = -1663 meV per atom
DOS(E_F) = 17.82 states/eV/cell
SG = No. 12



Record 10
Density functional theory data (PBE) for a relaxed structure of Dy3TmPu2Se6.

Lattice parameters (Å, degrees): 9.140 9.140 8.206 103.13 103.13 25.72
Fractional coordinates of all 12 atoms:
1 Dy 0.000 0.000 0.000
2 Dy 0.331 0.331 0.666
3 Dy 0.669 0.669 0.334
4 Tm 0.000 0.000 0.500
5 Pu 0.334 0.334 0.167
6 Pu 0.666 0.666 0.833
7 Se 0.164 0.164 0.578
8 Se 0.166 0.166 0.086
9 Se 0.497 0.497 0.745
10 Se 0.503 0.503 0.255
11 Se 0.834 0.834 0.914
12 Se 0.836 0.836 0.422

Properties
V = 24.12 Å³/atom
formation energy from raw total energies = -1687 meV per atom
DOS(E_F) = 18.08 states/eV/cell
SG = No. 12



> DOS(E_F) of number 6 (DyPu2Tl3Se6)?

21.79 states/eV/cell